CsAgCl2 | Alexandria via LeMat-Bulk | PBE-GGA | relaxed; uncorrected formation energy = -1.228 eV per atom; SG = P4/nmm, No. 129
1.0
5.125 0.000 0.000
0.000 5.125 0.000
0.000 0.000 10.033
Cs Ag Cl
2 2 4
direct
0.250 0.250 0.200
0.750 0.750 0.800
0.250 0.250 0.598
0.750 0.750 0.402
0.250 0.250 0.852
0.250 0.750 0.500
0.750 0.250 0.500
0.750 0.750 0.148